Below is a geometry-optimized Si2PRh structure, with properties calculated at the PBE level.

a b c (Å): 3.9795 3.1797 4.9769
angles (deg): 90.00 112.05 90.00
Sites, in units of the cell vectors:
Si  0.2231  0.0000  0.2472
Si  0.7769  0.0000  0.7528
P  0.0000  0.5000  0.5000
Rh  0.5000  0.5000  0.0000

Calculated values
SG: P2/m (10)
Calculated volume (A^3/atom): 14.59
ΔE_f (raw) (eV/f.u.): -0.21

=====

Below is a geometry-optimized Si2PRh structure, with properties calculated at the PBE level.

a b c (Å): 5.4649 3.7488 12.0983
angles (deg): 90.00 90.00 90.00
Sites, in units of the cell vectors:
Si  0.0515  0.2500  0.1994
Si  0.2173  0.2500  0.0128
Si  0.2827  0.7500  0.5128
Si  0.4485  0.7500  0.6994
Si  0.5515  0.2500  0.3006
Si  0.7173  0.2500  0.4872
Si  0.7827  0.7500  0.9872
Si  0.9485  0.7500  0.8006
P  0.1190  0.2500  0.4244
P  0.3810  0.7500  0.9244
P  0.6190  0.2500  0.0756
P  0.8810  0.7500  0.5756
Rh  0.2363  0.7500  0.3026
Rh  0.2637  0.2500  0.8026
Rh  0.7363  0.7500  0.1974
Rh  0.7637  0.2500  0.6974

Calculated values
SG: Pnma (62)
Calculated volume (A^3/atom): 15.49
ΔE_f (raw) (eV/f.u.): -0.58

=====

Below is a geometry-optimized Si3PRh structure, with properties calculated at the PBE level.

a b c (Å): 4.5766 4.5766 4.5766
angles (deg): 90.00 90.00 90.00
Sites, in units of the cell vectors:
Si  0.0000  0.0000  0.5000
Si  0.0000  0.5000  0.0000
Si  0.5000  0.0000  0.0000
P  0.5000  0.5000  0.5000
Rh  0.0000  0.0000  0.0000

Calculated values
Energy above the most stable polymorph in this dataset (meV/atom): 0
SG: Pm-3m (221)
Calculated volume (A^3/atom): 19.17
ΔE_f (raw) (eV/f.u.): 2.35

=====

Below is a geometry-optimized Si2PRh structure, with properties calculated at the PBE level.

a b c (Å): 4.4663 4.4663 4.4663
angles (deg): 125.95 125.95 79.97
Sites, in units of the cell vectors:
Si  0.0000  0.0000  0.0000
Si  0.7500  0.2500  0.5000
P  0.2500  0.7500  0.5000
Rh  0.5000  0.5000  0.0000

Calculated values
SG: I-4m2 (119)
Calculated volume (A^3/atom): 14.09
ΔE_f (raw) (eV/f.u.): 0.59

=====

Below is a geometry-optimized Si2PRh structure, with properties calculated at the PBE level.

a b c (Å): 6.8635 6.8635 6.8635
angles (deg): 26.63 26.63 26.63
Sites, in units of the cell vectors:
Si  0.2468  0.2468  0.2468
Si  0.7532  0.7532  0.7532
P  0.5000  0.5000  0.5000
Rh  0.0000  0.0000  0.0000

Calculated values
SG: R-3m (166)
Calculated volume (A^3/atom): 14.32
ΔE_f (raw) (eV/f.u.): -0.78

=====

Below is a geometry-optimized Si2P4Rh structure, with properties calculated at the PBE level.

a b c (Å): 4.9134 4.9134 5.5889
angles (deg): 108.42 108.42 96.83
Sites, in units of the cell vectors:
Si  0.0876  0.0876  0.3606
Si  0.9124  0.9124  0.6394
P  0.2101  0.6604  0.1545
P  0.3396  0.7899  0.8455
P  0.6604  0.2101  0.1545
P  0.7899  0.3396  0.8455
Rh  0.5000  0.5000  0.5000

Calculated values
SG: C2/m (12)
Calculated volume (A^3/atom): 16.83
ΔE_f (raw) (eV/f.u.): -1.84

=====

Number 1: magnetic moment 0.00 μB per cell, raw total energy -5.95 eV per atom. Number 2: magnetic moment 0.00 μB per cell, raw total energy -6.05 eV per atom. Number 3: magnetic moment 0.00 μB per cell, raw total energy -5.34 eV per atom. Number 4: magnetic moment 0.00 μB per cell, raw total energy -5.75 eV per atom. Number 5: magnetic moment 0.00 μB per cell, raw total energy -6.10 eV per atom. Number 6: magnetic moment 0.00 μB per cell, raw total energy -5.95 eV per atom.